Record 1
This record from the Open Quantum Materials Database describes Zr4Mo2As3N3 after structural relaxation. The functional is PBE.

Properties
Space-group type: C2/c
Total DFT energy (no corrections): -8.853 eV per atom
Total moment: 0.0 μB/f.u.

Lattice parameters (Å, degrees): 5.889 5.889 12.483 103.34 103.34 59.99
Sites, in units of the cell vectors:
1 N 0.151 0.674 0.000
2 N 0.000 0.500 0.500
3 N 0.674 0.151 0.500
4 N 0.326 0.849 0.500
5 N 0.849 0.326 0.000
6 N 0.500 0.000 0.000
7 Mo 0.528 0.377 0.086
8 Mo 0.472 0.623 0.914
9 Mo 0.623 0.472 0.414
10 Mo 0.377 0.528 0.586
11 Zr 0.021 0.210 0.598
12 Zr 0.210 0.021 0.098
13 Zr 0.299 0.147 0.402
14 Zr 0.853 0.701 0.098
15 Zr 0.979 0.790 0.402
16 Zr 0.790 0.979 0.902
17 Zr 0.147 0.299 0.902
18 Zr 0.701 0.853 0.598
19 As 0.723 0.583 0.752
20 As 0.583 0.723 0.252
21 As 0.417 0.277 0.748
22 As 0.887 0.113 0.250
23 As 0.277 0.417 0.248
24 As 0.113 0.887 0.750



Record 2
This record from the Open Quantum Materials Database describes Pr3Cu2Si4 after structural relaxation. The functional is PBE.

Properties
Space-group type: C2/m
Total DFT energy (no corrections): -5.533 eV per atom
Total moment: 0.0 μB/f.u.

Lattice parameters (Å, degrees): 5.885 5.885 8.252 98.54 98.54 40.93
Sites, in units of the cell vectors:
1 Si 0.282 0.282 0.941
2 Si 0.942 0.942 0.611
3 Si 0.058 0.058 0.389
4 Si 0.718 0.718 0.059
5 Pr 0.337 0.337 0.332
6 Pr 0.663 0.663 0.668
7 Pr 0.000 0.000 0.000
8 Cu 0.611 0.611 0.281
9 Cu 0.389 0.389 0.719